[1]
Material: Pr5Nd12Gd3
Method: DFT, PBE-GGA
State: optimized geometry

a = 16.236 Å, b = 16.236 Å, c = 16.236 Å
α = 109.47°, β = 109.47°, γ = 109.47°
Fractional coordinates of all 80 atoms:
Pr 0.625 0.875 0.250
Nd 0.931 0.568 0.162
Gd 0.875 0.750 0.125
Gd 0.750 0.375 0.125
Nd 0.432 0.363 0.594
Pr 0.500 0.000 0.500
Nd 0.431 0.769 0.863
Nd 0.269 0.406 0.838
Nd 0.137 0.406 0.068
Pr 0.875 0.625 0.750
Nd 0.906 0.068 0.637
Nd 0.338 0.769 0.406
Gd 0.375 0.750 0.625
Nd 0.069 0.637 0.731
Pr 0.750 0.625 0.375
Nd 0.432 0.069 0.338
Gd 0.750 0.875 0.625
Nd 0.094 0.162 0.231
Pr 0.375 0.125 0.750
Pr 0.375 0.250 0.125
Nd 0.594 0.731 0.662
Pr 0.250 0.875 0.125
Pr 0.875 0.250 0.625
Nd 0.931 0.363 0.269
Nd 0.569 0.338 0.932
Pr 0.000 0.000 0.000
Nd 0.162 0.068 0.931
Nd 0.906 0.838 0.769
Gd 0.875 0.125 0.250
Nd 0.863 0.269 0.431
Nd 0.338 0.569 0.432
Nd 0.068 0.906 0.137
Nd 0.137 0.731 0.569
Gd 0.250 0.125 0.375
Pr 0.250 0.375 0.625
Pr 0.000 0.500 0.500
Nd 0.594 0.863 0.432
Nd 0.094 0.932 0.363
Nd 0.231 0.569 0.637
Pr 0.125 0.375 0.250
Gd 0.625 0.250 0.375
Pr 0.500 0.500 0.500
Nd 0.406 0.269 0.338
Nd 0.569 0.231 0.137
Nd 0.731 0.594 0.162
Pr 0.000 0.000 0.500
Gd 0.375 0.625 0.250
Nd 0.838 0.906 0.269
Gd 0.125 0.250 0.875
Nd 0.838 0.932 0.069
Nd 0.231 0.662 0.094
Nd 0.662 0.431 0.568
Nd 0.363 0.432 0.094
Pr 0.000 0.500 0.000
Nd 0.068 0.162 0.431
Pr 0.500 0.000 0.000
Nd 0.769 0.431 0.363
Nd 0.162 0.094 0.731
Nd 0.069 0.432 0.838
Nd 0.406 0.137 0.568
Nd 0.568 0.931 0.662
Nd 0.568 0.637 0.406
Nd 0.637 0.568 0.906
Nd 0.863 0.594 0.932
Pr 0.125 0.750 0.375
Nd 0.363 0.931 0.769
Nd 0.637 0.069 0.231
Nd 0.932 0.838 0.569
Gd 0.250 0.625 0.875
Pr 0.750 0.125 0.875
Gd 0.625 0.375 0.750
Pr 0.625 0.750 0.875
Gd 0.125 0.875 0.750
Nd 0.731 0.137 0.069
Nd 0.932 0.094 0.863
Pr 0.500 0.500 0.000
Nd 0.431 0.662 0.068
Nd 0.769 0.338 0.906
Nd 0.269 0.863 0.931
Nd 0.662 0.231 0.594

- crystal system = cubic
- calculated total energy (eV per atom) = -5.24
- formation enthalpy at 0 K (kJ/mol of formula units) = 1783



[2]
Material: PrNd2Gd
Method: DFT, PBE-GGA
State: optimized geometry

a = 3.674 Å, b = 3.674 Å, c = 10.336 Å
α = 90.00°, β = 90.00°, γ = 90.00°
Fractional coordinates of all 4 atoms:
Gd 0.500 0.500 0.000
Nd 0.000 0.000 0.247
Pr 0.500 0.500 0.500
Nd 0.000 0.000 0.753

- relative energy among the computed polymorphs (kcal/mol of atoms) = 0.18
- crystal system = tetragonal
- calculated total energy (eV per atom) = -7.08
- formation enthalpy at 0 K (kJ/mol of formula units) = 7